No. 1
Computed, not measured: HgTeAs2Br after structural relaxation at the GGA-PBE level of DFT.

The structure in POSCAR format:
```
HgTeAs2Br
1.0
5.504 0.000 0.000
0.000 5.504 0.000
0.000 0.000 5.753
Br Te As Hg
1 1 2 1
Cartesian
0.000 0.000 2.876
0.000 0.000 0.000
0.000 2.752 0.000
2.752 0.000 0.000
2.752 2.752 2.876
```

Properties
Electronic total energy   -11.2 eV for the cell shown
E above lowest polymorph   0 meV per atom
Formation energy from raw total energies   0.651 eV/atom


No. 2
Computed, not measured: PrMnVP2 after structural relaxation at the GGA-PBE level of DFT.

The structure in POSCAR format:
```
PrMnVP2
1.0
-0.943 2.106 3.052
2.970 -1.455 1.923
2.383 4.026 -4.440
Mn V P Pr
1 1 2 1
Cartesian
3.183 1.448 -0.015
1.226 3.229 0.549
2.497 3.200 -1.436
1.912 1.477 1.970
0.000 0.000 0.000
```

Properties
Electronic total energy   -38.4 eV for the cell shown
E_form   -900 meV per atom


No. 3
Computed, not measured: SrPmP2O8 after structural relaxation at the GGA-PBE level of DFT.

The structure in POSCAR format:
```
SrPmP2O8
1.0
6.019 -0.016 0.000
-2.684 5.388 0.000
-1.668 -2.686 5.122
P O Pm Sr
2 8 1 1
Cartesian
3.009 -0.008 2.561
1.668 2.686 0.000
4.248 0.366 1.706
2.795 1.268 3.416
0.272 -1.248 4.232
0.429 2.377 0.890
-0.272 1.248 4.232
2.907 2.995 0.890
1.771 -0.381 1.706
3.224 -1.284 3.416
-1.342 2.694 2.561
0.000 0.000 0.000
```

Properties
Electronic total energy   -89.0 eV for the cell shown
Formation energy from raw total energies   -2.678 eV/atom


No. 4
Computed, not measured: Nd3UCl3O6 after structural relaxation at the GGA-PBE level of DFT.

The structure in POSCAR format:
```
Nd3UCl3O6
1.0
4.736 -8.203 0.000
4.736 8.203 0.000
0.000 0.000 5.580
O U Nd Cl
12 2 6 6
Cartesian
6.311 -3.004 2.824
6.311 -3.004 5.546
5.290 1.235 0.034
3.715 -3.964 5.546
3.161 3.004 0.034
3.715 -3.964 2.824
5.757 3.964 2.756
3.161 3.004 2.756
5.757 3.964 0.034
5.290 1.235 2.756
4.182 -1.235 5.546
4.182 -1.235 2.824
4.736 2.734 1.395
4.736 -2.734 4.185
3.661 4.880 4.185
6.057 -0.730 1.395
5.812 -4.880 1.395
2.340 -2.593 1.395
3.416 0.730 4.185
7.132 2.593 4.185
8.015 1.553 1.395
4.120 6.164 1.395
5.352 -6.164 4.185
1.458 -1.553 4.185
7.399 -0.486 4.185
2.074 0.486 1.395
```

Properties
Electronic total energy   -200.7 eV for the cell shown
Formation energy from raw total energies   -3.036 eV/atom


No. 5
Computed, not measured: RbAg5Se3 after structural relaxation at the GGA-PBE level of DFT.

The structure in POSCAR format:
```
RbAg5Se3
1.0
6.073 0.000 0.000
0.000 6.073 0.000
0.000 0.000 11.491
Ag Se Rb
10 6 2
Cartesian
4.867 1.831 9.318
4.867 4.242 2.173
1.831 1.205 9.318
4.242 4.867 9.318
3.036 3.036 0.000
1.205 4.242 9.318
4.242 1.205 2.173
1.831 4.867 2.173
0.000 0.000 0.000
1.205 1.831 2.173
0.000 0.000 3.728
0.000 3.036 0.000
3.036 0.000 0.000
3.036 3.036 7.763
0.000 0.000 7.763
3.036 3.036 3.728
3.036 0.000 5.745
0.000 3.036 5.745
```

Properties
Electronic total energy   -56.7 eV for the cell shown
Formation energy from raw total energies   -0.297 eV/atom


No. 6
Computed, not measured: NaAs2Se2 after structural relaxation at the GGA-PBE level of DFT.

The structure in POSCAR format:
```
NaAs2Se2
1.0
5.403 0.000 0.000
0.000 5.403 0.000
2.702 2.702 4.171
Se As Na
2 2 1
Cartesian
5.403 2.702 2.086
2.702 5.403 2.086
2.702 2.702 1.297
5.403 5.403 2.874
0.000 0.000 0.000
```

Properties
Electronic total energy   -18.3 eV for the cell shown
E above lowest polymorph   5 meV per atom
Formation energy from raw total energies   -0.140 eV/atom


No. 7
Computed, not measured: Cd2OsRu after structural relaxation at the GGA-PBE level of DFT.

The structure in POSCAR format:
```
Cd2OsRu
1.0
5.165 0.006 0.000
2.088 4.724 0.000
-3.626 -2.365 2.816
Cd Ru Os
2 1 1
Cartesian
3.626 2.365 0.000
0.000 0.000 0.000
2.582 0.003 1.408
1.044 2.362 1.408
```

Properties
Electronic total energy   -19.5 eV for the cell shown
E_form   698 meV per atom
E above lowest polymorph   526 meV per atom


No. 8
Computed, not measured: Zn2PPd8 after structural relaxation at the GGA-PBE level of DFT.

The structure in POSCAR format:
```
Zn2PPd8
1.0
-1.031 -0.703 -3.994
4.088 -3.583 -0.425
-5.736 -3.503 4.289
Pd Zn P
8 2 1
Cartesian
-0.030 -2.658 -1.716
2.906 -2.884 -0.243
-2.649 -5.131 1.587
-1.465 -2.702 0.853
-1.214 -5.087 -0.983
-4.270 -2.873 1.608
-5.585 -4.905 0.113
1.591 -4.916 -1.738
-3.377 -3.763 -0.658
0.699 -4.026 0.528
-0.515 -0.351 -1.997
```

Properties
Electronic total energy   -53.7 eV for the cell shown
E_form   -378 meV per atom
E above lowest polymorph   0 meV per atom


No. 9
Computed, not measured: Sr2LiCrN4 after structural relaxation at the GGA-PBE level of DFT.

The structure in POSCAR format:
```
Sr2LiCrN4
1.0
5.643 0.000 0.000
0.000 5.931 0.000
0.000 0.000 7.355
N Sr Li Cr
8 4 2 2
Cartesian
4.194 5.846 3.677
1.450 5.846 3.677
2.821 3.883 5.181
2.821 3.883 2.174
5.642 2.049 5.851
4.271 0.085 0.000
1.372 0.086 0.000
5.642 2.049 1.504
2.822 1.372 1.812
0.000 4.560 5.490
0.000 4.560 1.865
2.822 1.372 5.543
5.643 1.274 3.677
2.821 4.658 0.000
5.643 1.152 0.000
2.821 4.780 3.677
```

Properties
Electronic total energy   -107.0 eV for the cell shown
Formation energy from raw total energies   -0.663 eV/atom


No. 10
Computed, not measured: HoU2Ni9 after structural relaxation at the GGA-PBE level of DFT.

The structure in POSCAR format:
```
HoU2Ni9
1.0
4.863 0.000 0.000
2.431 4.211 0.000
2.431 1.404 8.179
Ho Ni U
1 9 2
Cartesian
0.000 0.000 0.000
2.431 1.404 0.009
4.863 4.212 2.040
3.646 3.510 6.139
6.079 2.105 2.040
6.079 3.510 6.139
4.863 2.807 4.089
4.863 1.402 6.139
3.646 2.105 2.040
7.294 4.211 8.170
2.431 1.404 4.702
7.294 4.211 3.476
```

Properties
Electronic total energy   -83.0 eV for the cell shown
E_form   -318 meV per atom


No. 11
Computed, not measured: LaMn2Sb after structural relaxation at the GGA-PBE level of DFT.

The structure in POSCAR format:
```
LaMn2Sb
1.0
-0.739 1.727 3.183
-3.006 -1.257 -0.016
-0.592 -7.091 3.710
Mn La Sb
2 1 1
Cartesian
-1.335 -1.068 2.416
-2.838 -1.658 0.241
-3.028 -5.491 4.422
-1.941 -3.836 1.631
```

Properties
Electronic total energy   -27.3 eV for the cell shown
Formation energy from raw total energies   0.023 eV/atom